Entry from the Alexandria database: a relaxed LiNpSbIr crystal (PBE).

Unit cell a=6.7137 b=6.7137 c=6.7137 alpha=90.00 beta=90.00 gamma=90.00
Last column: nearest neighbours and their distance in Å.
Sites, in units of the cell vectors:
Li1 0.0000 0.0000 0.0000  4 Sb 2.91, 4 Np 2.91
Li2 0.0000 0.5000 0.5000  4 Sb 2.91, 4 Np 2.91
Li3 0.5000 0.0000 0.5000  4 Sb 2.91, 4 Np 2.91
Li4 0.5000 0.5000 0.0000  4 Sb 2.91, 4 Np 2.91
Np1 0.2500 0.2500 0.2500  4 Li 2.91, 4 Ir 2.91
Np2 0.2500 0.7500 0.7500  4 Li 2.91, 4 Ir 2.91
Np3 0.7500 0.2500 0.7500  4 Li 2.91, 4 Ir 2.91
Np4 0.7500 0.7500 0.2500  4 Li 2.91, 4 Ir 2.91
Sb1 0.2500 0.2500 0.7500  4 Li 2.91, 4 Ir 2.91
Sb2 0.2500 0.7500 0.2500  4 Li 2.91, 4 Ir 2.91
Sb3 0.7500 0.2500 0.2500  4 Li 2.91, 4 Ir 2.91
Sb4 0.7500 0.7500 0.7500  4 Li 2.91, 4 Ir 2.91
Ir1 0.0000 0.0000 0.5000  4 Np 2.91, 4 Sb 2.91
Ir2 0.0000 0.5000 0.0000  4 Np 2.91, 4 Sb 2.91
Ir3 0.5000 0.0000 0.0000  4 Np 2.91, 4 Sb 2.91
Ir4 0.5000 0.5000 0.5000  4 Np 2.91, 4 Sb 2.91

## Properties
Formation energy without anion corrections: -323 meV per atom

***

Entry from the Alexandria database: a relaxed LiNpScIr crystal (PBE).

Unit cell a=6.7371 b=6.7371 c=6.7371 alpha=90.00 beta=90.00 gamma=90.00
Last column: nearest neighbours and their distance in Å.
Sites, in units of the cell vectors:
Li1 0.0000 0.0000 0.0000  4 Np 2.92, 4 Sc 2.92
Li2 0.0000 0.5000 0.5000  4 Np 2.92, 4 Sc 2.92
Li3 0.5000 0.0000 0.5000  4 Np 2.92, 4 Sc 2.92
Li4 0.5000 0.5000 0.0000  4 Np 2.92, 4 Sc 2.92
Np1 0.2500 0.2500 0.7500  4 Li 2.92, 4 Ir 2.92
Np2 0.2500 0.7500 0.2500  4 Li 2.92, 4 Ir 2.92
Np3 0.7500 0.2500 0.2500  4 Li 2.92, 4 Ir 2.92
Np4 0.7500 0.7500 0.7500  4 Li 2.92, 4 Ir 2.92
Sc1 0.2500 0.2500 0.2500  4 Li 2.92, 4 Ir 2.92
Sc2 0.2500 0.7500 0.7500  4 Li 2.92, 4 Ir 2.92
Sc3 0.7500 0.2500 0.7500  4 Li 2.92, 4 Ir 2.92
Sc4 0.7500 0.7500 0.2500  4 Li 2.92, 4 Ir 2.92
Ir1 0.0000 0.0000 0.5000  4 Sc 2.92, 4 Np 2.92
Ir2 0.0000 0.5000 0.0000  4 Sc 2.92, 4 Np 2.92
Ir3 0.5000 0.0000 0.0000  4 Sc 2.92, 4 Np 2.92
Ir4 0.5000 0.5000 0.5000  4 Sc 2.92, 4 Np 2.92

## Properties
Formation energy from the elements: -0.19 eV/atom

***

Entry from the Alexandria database: a relaxed LiNpUIr crystal (PBE).

Unit cell a=6.5526 b=6.5526 c=6.5526 alpha=90.00 beta=90.00 gamma=90.00
Last column: nearest neighbours and their distance in Å.
Sites, in units of the cell vectors:
Li1 0.0000 0.0000 0.0000  4 Ir 2.84, 4 Np 2.84
Li2 0.0000 0.5000 0.5000  4 Ir 2.84, 4 Np 2.84
Li3 0.5000 0.0000 0.5000  4 Ir 2.84, 4 Np 2.84
Li4 0.5000 0.5000 0.0000  4 Ir 2.84, 4 Np 2.84
Np1 0.2500 0.2500 0.7500  4 Li 2.84, 4 U 2.84
Np2 0.2500 0.7500 0.2500  4 Li 2.84, 4 U 2.84
Np3 0.7500 0.2500 0.2500  4 Li 2.84, 4 U 2.84
Np4 0.7500 0.7500 0.7500  4 Li 2.84, 4 U 2.84
U1 0.0000 0.0000 0.5000  4 Np 2.84, 4 Ir 2.84
U2 0.0000 0.5000 0.0000  4 Np 2.84, 4 Ir 2.84
U3 0.5000 0.0000 0.0000  4 Np 2.84, 4 Ir 2.84
U4 0.5000 0.5000 0.5000  4 Np 2.84, 4 Ir 2.84
Ir1 0.2500 0.2500 0.2500  4 Li 2.84, 4 U 2.84
Ir2 0.2500 0.7500 0.7500  4 Li 2.84, 4 U 2.84
Ir3 0.7500 0.2500 0.7500  4 Li 2.84, 4 U 2.84
Ir4 0.7500 0.7500 0.2500  4 Li 2.84, 4 U 2.84

## Properties
Formation energy from the elements: -0.15 eV/atom

***

Entry from the Alexandria database: a relaxed LiNpZnIr crystal (PBE).

Unit cell a=6.5491 b=6.5491 c=6.5491 alpha=90.00 beta=90.00 gamma=90.00
Last column: nearest neighbours and their distance in Å.
Sites, in units of the cell vectors:
Li1 0.0000 0.0000 0.0000  4 Np 2.84, 4 Zn 2.84
Li2 0.0000 0.5000 0.5000  4 Np 2.84, 4 Zn 2.84
Li3 0.5000 0.0000 0.5000  4 Np 2.84, 4 Zn 2.84
Li4 0.5000 0.5000 0.0000  4 Np 2.84, 4 Zn 2.84
Np1 0.2500 0.2500 0.2500  4 Li 2.84, 4 Ir 2.84
Np2 0.2500 0.7500 0.7500  4 Li 2.84, 4 Ir 2.84
Np3 0.7500 0.2500 0.7500  4 Li 2.84, 4 Ir 2.84
Np4 0.7500 0.7500 0.2500  4 Li 2.84, 4 Ir 2.84
Zn1 0.2500 0.2500 0.7500  4 Li 2.84, 4 Ir 2.84
Zn2 0.2500 0.7500 0.2500  4 Li 2.84, 4 Ir 2.84
Zn3 0.7500 0.2500 0.2500  4 Li 2.84, 4 Ir 2.84
Zn4 0.7500 0.7500 0.7500  4 Li 2.84, 4 Ir 2.84
Ir1 0.0000 0.0000 0.5000  4 Np 2.84, 4 Zn 2.84
Ir2 0.0000 0.5000 0.0000  4 Np 2.84, 4 Zn 2.84
Ir3 0.5000 0.0000 0.0000  4 Np 2.84, 4 Zn 2.84
Ir4 0.5000 0.5000 0.5000  4 Np 2.84, 4 Zn 2.84

## Properties
Formation energy from the elements: -0.06 eV/atom

***

Entry from the Alexandria database: a relaxed Li3IrO3 crystal (PBE).

Unit cell a=5.2807 b=5.2807 c=6.0929 alpha=91.89 beta=91.89 gamma=117.22
Last column: nearest neighbours and their distance in Å.
Sites, in units of the cell vectors:
Li1 0.2113 0.7887 0.0000  4 O 1.95-2.13
Li2 0.2333 0.7667 0.5000  4 O 2.43-2.47, 4 Ir 2.71-2.72
Li3 0.3449 0.3449 0.9051  1 O 1.81, 1 Li 2.00
Li4 0.6551 0.6551 0.0949  1 O 1.81, 1 Li 2.00
Li5 0.7667 0.2333 0.5000  4 O 2.43-2.47, 4 Ir 2.71-2.72
Li6 0.7887 0.2113 0.0000  4 O 1.95-2.13
Ir1 0.2865 0.2865 0.4100  3 O 1.89-1.98
Ir2 0.7135 0.7135 0.5900  3 O 1.89-1.98
O1 0.1219 0.1219 0.6734  1 Li 1.81, 1 Ir 1.89
O2 0.1932 0.4716 0.1658  3 Li 1.95-2.13, 1 Ir 1.98
O3 0.4716 0.1932 0.1658  3 Li 1.95-2.13, 1 Ir 1.98
O4 0.5284 0.8068 0.8342  3 Li 1.95-2.13, 1 Ir 1.98
O5 0.8068 0.5284 0.8342  3 Li 1.95-2.13, 1 Ir 1.98
O6 0.8781 0.8781 0.3266  1 Li 1.81, 1 Ir 1.89

## Properties
Formation energy without anion corrections: -1170 meV per atom

***

Entry from the Alexandria database: a relaxed Li8IrO6 crystal (PBE).

Unit cell a=5.6312 b=5.6312 c=10.9599 alpha=90.00 beta=90.00 gamma=120.00
Last column: nearest neighbours and their distance in Å.
Sites, in units of the cell vectors:
Li1 0.0000 0.3160 0.0000  4 O 1.99-2.09
Li2 0.0000 0.3676 0.3715  4 O 1.99-2.12
Li3 0.0000 0.6324 0.8715  4 O 1.99-2.12
Li4 0.0000 0.6840 0.5000  4 O 1.99-2.09
Li5 0.3160 0.0000 0.0000  4 O 1.99-2.09
Li6 0.3160 0.3160 0.5000  4 O 1.99-2.09
Li7 0.3333 0.6667 0.1366  4 O 1.97-1.98
Li8 0.3333 0.6667 0.6366  4 O 1.97-1.98
Li9 0.3676 0.0000 0.3715  4 O 1.99-2.12
Li10 0.3676 0.3676 0.8715  4 O 1.99-2.12
Li11 0.6324 0.0000 0.8715  4 O 1.99-2.12
Li12 0.6324 0.6324 0.3715  4 O 1.99-2.12
Li13 0.6667 0.3333 0.1366  4 O 1.97-1.98
Li14 0.6667 0.3333 0.6366  4 O 1.97-1.98
Li15 0.6840 0.0000 0.5000  4 O 1.99-2.09
Li16 0.6840 0.6840 0.0000  4 O 1.99-2.09
Ir1 0.0000 0.0000 0.1964  3 O 1.87
Ir2 0.0000 0.0000 0.6964  3 O 1.87
O1 0.0000 0.0000 0.4151  6 Li 2.01-2.12
O2 0.0000 0.0000 0.9151  6 Li 2.01-2.12
O3 0.0000 0.3316 0.1909  1 Ir 1.87, 3 Li 1.97-1.99
O4 0.0000 0.6684 0.6909  1 Ir 1.87, 3 Li 1.97-1.99
O5 0.3316 0.0000 0.1909  1 Ir 1.87, 3 Li 1.97-1.99
O6 0.3316 0.3316 0.6909  1 Ir 1.87, 3 Li 1.97-1.99
O7 0.3333 0.6667 0.4563  7 Li 1.98-2.02
O8 0.3333 0.6667 0.9563  7 Li 1.98-2.02
O9 0.6667 0.3333 0.4563  7 Li 1.98-2.02
O10 0.6667 0.3333 0.9563  7 Li 1.98-2.02
O11 0.6684 0.0000 0.6909  1 Ir 1.87, 3 Li 1.97-1.99
O12 0.6684 0.6684 0.1909  1 Ir 1.87, 3 Li 1.97-1.99

## Properties
ΔE to the lowest computed polymorph: 103.1 meV/atom
Formation energy without anion corrections: -1536 meV per atom

***

| no. | DOS(E_F) (states/eV/atom) | magnetic moment (μB/atom) | uncorrected energy (eV/atom) |
| --- | --- | --- | --- |
| 1 | 0.89 | 0.998 | -7.2821 |
| 2 | 2.48 | 1.079 | -7.7045 |
| 3 | 1.49 | 1.261 | -8.9046 |
| 4 | 2.50 | 1.032 | -6.3037 |
| 5 | 0.37 | 0.000 | -5.3807 |
| 6 | 0.01 | 0.031 | -5.1307 |